Entry 1:
# Eu2YZn

A relaxed structure of Eu2YZn (GGA-PBE, Alexandria via LeMat-Bulk).

a = 3.7292 Å, b = 3.7292 Å, c = 9.1018 Å
α = 90.00°, β = 90.00°, γ = 90.00°
Positions (direct):
1 Eu 0.0000 0.0000 0.2043
2 Eu 0.0000 0.0000 0.7957
3 Y 0.5000 0.5000 0.5000
4 Zn 0.5000 0.5000 0.0000

## Properties
ΔE to the lowest computed polymorph = 0.000 eV/atom
Formation enthalpy at 0 K = -6.20 kJ per mole of atoms
Fermi-level density of states = 3.835 states/eV per cell
M_tot = 3.8376 μB/atom
Total energy = -7.136 eV per atom



Entry 2:
# EuYZn4

A relaxed structure of EuYZn4 (GGA-PBE, Alexandria via LeMat-Bulk).

a = 5.5486 Å, b = 5.5486 Å, c = 5.5486 Å
α = 60.00°, β = 60.00°, γ = 60.00°
Positions (direct):
1 Eu 0.0000 0.0000 0.0000
2 Y 0.2500 0.2500 0.2500
3 Zn 0.1269 0.6244 0.6244
4 Zn 0.6244 0.1269 0.6244
5 Zn 0.6244 0.6244 0.1269
6 Zn 0.6244 0.6244 0.6244

## Properties
Formation enthalpy at 0 K = -27.07 kJ per mole of atoms
Fermi-level density of states = 4.714 states/eV per cell
M_tot = 1.1517 μB/atom
Total energy = -3.920 eV per atom



Entry 3:
# EuYZn

A relaxed structure of EuYZn (GGA-PBE, Alexandria via LeMat-Bulk).

a = 5.1058 Å, b = 5.1058 Å, c = 3.8876 Å
α = 90.00°, β = 90.00°, γ = 120.00°
Positions (direct):
1 Eu 0.0000 0.0000 0.0000
2 Y 0.3333 0.6667 0.5274
3 Zn 0.6667 0.3333 0.3839

## Properties
ΔE to the lowest computed polymorph = 0.187 eV/atom
Formation enthalpy at 0 K = 0.50 kJ per mole of atoms
Fermi-level density of states = 2.932 states/eV per cell
M_tot = 2.4301 μB/atom
Total energy = -5.999 eV per atom



Entry 4:
# EuY2Zn

A relaxed structure of EuY2Zn (GGA-PBE, Alexandria via LeMat-Bulk).

a = 3.6239 Å, b = 3.6239 Å, c = 9.0431 Å
α = 90.00°, β = 90.00°, γ = 90.00°
Positions (direct):
1 Eu 0.0000 0.0000 0.0000
2 Y 0.5000 0.5000 0.3106
3 Y 0.5000 0.5000 0.6894
4 Zn 0.0000 0.0000 0.5000

## Properties
ΔE to the lowest computed polymorph = 0.000 eV/atom
Formation enthalpy at 0 K = -11.92 kJ per mole of atoms
Fermi-level density of states = 4.528 states/eV per cell
M_tot = 1.9246 μB/atom
Total energy = -6.243 eV per atom